1:
First-principles (PBE) data for a relaxed structure of Dy2Br2NCl, as listed in the Open Quantum Materials Database.

extended XYZ file:
```
12
Lattice="-5.7877 -6.4202 -3.9375 -4.9001 -8.1144 -0.6047 -3.2997 9.5517 5.7342" Properties=species:S:1:pos:R:3 pbc="T T T"
Cl -7.2483 -9.7743 -3.0384
N -5.6626 -2.8797 0.0442
Dy -4.0958 5.5433 3.9086
N -8.3248 -2.1033 1.1478
Dy -6.3409 -1.0610 1.1493
Br -1.1389 1.8598 1.2487
Br -12.8485 -6.8428 -0.0568
Br -9.6125 -7.8204 -1.4155
Cl -6.7392 4.7913 4.2303
Br -4.3749 2.8374 2.6074
Dy -7.6465 -3.9220 0.0426
Dy -9.8916 -10.5263 -2.7167
```

Calculated values
Crystal system   monoclinic


2:
First-principles (PBE) data for a relaxed structure of Dy2Br2NCl, as listed in the Open Quantum Materials Database.

extended XYZ file:
```
12
Lattice="8.6887 -1.9312 0.0000 8.6887 1.9312 0.0000 -6.0247 0.0000 9.3508" Properties=species:S:1:pos:R:3 pbc="T T T"
Br 11.4670 0.0000 0.1820
Dy -2.4118 0.0000 7.3540
Cl -0.0720 0.0000 5.7094
Br -0.6652 0.0000 2.2628
N 6.0136 0.0000 6.1287
Dy 7.3008 0.0000 4.2933
Br 12.0179 0.0000 7.0880
Br -0.1143 0.0000 9.1688
Dy 13.7645 0.0000 1.9967
N 5.3391 0.0000 3.2221
Dy 4.0518 0.0000 5.0575
Cl 11.4247 0.0000 3.6414
```

Calculated values
Crystal system   monoclinic


Most stable: 2 (next structure +0.7 kJ/mol of atoms)


1:
First-principles (PBE) data for a relaxed structure of Ga2PtBr4Cl4, as listed in the Open Quantum Materials Database.

extended XYZ file:
```
11
Lattice="6.3563 -4.1513 0.0000 6.3563 4.1513 0.0000 -1.2732 0.0000 7.5234" Properties=species:S:1:pos:R:3 pbc="T T T"
Pt 0.0000 0.0000 0.0000
Cl 3.8525 2.5579 6.3772
Br 6.8402 0.0000 5.4822
Br 1.5764 0.0000 4.5910
Br 4.5991 0.0000 2.0411
Ga 2.3492 0.0000 2.4306
Cl 3.8525 -2.5579 6.3772
Cl 7.5867 2.5579 1.1461
Cl 7.5867 -2.5579 1.1461
Ga 9.0901 0.0000 5.0927
Br 9.8628 0.0000 2.9324
```

Calculated values
Crystal system   monoclinic


2:
First-principles (PBE) data for a relaxed structure of Ga2PtBr4Cl4, as listed in the Open Quantum Materials Database.

extended XYZ file:
```
11
Lattice="-2.9377 -2.3633 6.5869 2.7741 -6.7742 2.0043 5.5648 3.9215 3.1614" Properties=species:S:1:pos:R:3 pbc="T T T"
Cl 2.0670 -5.8646 8.2211
Cl 3.9282 -2.7781 7.5700
Ga 1.7894 -0.7266 2.9296
Br 2.9276 1.1108 7.3550
Pt 0.0000 0.0000 0.0000
Br 6.3482 -1.5308 4.6106
Cl 1.4731 -2.4379 4.1826
Ga 3.6119 -4.4894 8.8230
Cl 3.3342 0.6486 3.5314
Br -0.9470 -3.6852 7.1420
Br 2.4736 -6.3268 4.3976
```

Calculated values
Crystal system   monoclinic


Most stable: 2 (next structure +3.0 kJ/mol of atoms)